The following is a DFT calculation (PBE-GGA) of a relaxed Ho3In5H12 crystal.

Calculated values
Magnetization, Bohr magnetons per cell: 0.00
Total energy, eV/atom: -3.318

abc: 12.8405 12.8405 12.8405
angles: 90.00 90.00 90.00
Last column: nearest neighbours and their distance in Å.
Space group Ia-3d (No. 230)
Unique sites:
Ho (0.0000, 0.2500, 0.1250) [24 per cell]  8 H 2.19-2.24
In (0.0000, 0.0000, 0.0000) [16 per cell]  6 H 2.31
In (0.0000, 0.2500, 0.3750) [24 per cell]  4 H 2.27
H (0.0014, 0.0832, 0.1591) [96 per cell]  1 H 1.95